# SmSbNO, relaxed, DFT PBE-GGA
# V	17.4	Å³/atom
# size of the total moment	0.0	μB per formula unit
# energy relative to the lowest polymorph listed for this composition	0.000	eV per atom
# space-group type	No. 29
data_SmSbNO
_chemical_formula_sum 'Sm4 Sb4 N4 O4'
_symmetry_space_group_name_H-M 'P 1'
_symmetry_Int_Tables_number 1
_cell_length_a 5.628
_cell_length_b 8.307
_cell_length_c 5.953
_cell_angle_alpha 90.00
_cell_angle_beta 90.00
_cell_angle_gamma 90.00
loop_
_symmetry_equiv_pos_as_xyz
'x,y,z'
loop_
_atom_site_label
_atom_site_type_symbol
_atom_site_fract_x
_atom_site_fract_y
_atom_site_fract_z
N1 N 0.151 0.102 0.496
N2 N 0.651 0.898 0.496
N3 N 0.349 0.102 0.996
N4 N 0.849 0.898 0.996
O1 O 0.249 0.486 0.232
O2 O 0.749 0.514 0.232
O3 O 0.251 0.486 0.732
O4 O 0.751 0.514 0.732
Sb1 Sb 0.519 0.125 0.491
Sb2 Sb 0.019 0.875 0.491
Sb3 Sb 0.981 0.125 0.991
Sb4 Sb 0.481 0.875 0.991
Sm1 Sm 0.990 0.369 0.482
Sm2 Sm 0.490 0.631 0.482
Sm3 Sm 0.510 0.369 0.982
Sm4 Sm 0.010 0.631 0.982

***

# SmSbN2O, relaxed, DFT PBE-GGA
# V	13.1	Å³/atom
# E	-6.81	eV/atom
# size of the total moment	0.0	μB per formula unit
# space-group type	No. 6
data_SmSbN2O
_chemical_formula_sum 'Sm1 Sb1 N2 O1'
_symmetry_space_group_name_H-M 'P 1'
_symmetry_Int_Tables_number 1
_cell_length_a 4.055
_cell_length_b 3.975
_cell_length_c 4.078
_cell_angle_alpha 90.00
_cell_angle_beta 90.46
_cell_angle_gamma 90.00
loop_
_symmetry_equiv_pos_as_xyz
'x,y,z'
loop_
_atom_site_label
_atom_site_type_symbol
_atom_site_fract_x
_atom_site_fract_y
_atom_site_fract_z
N1 N 0.998 0.500 0.456
N2 N 0.532 0.500 0.995
O1 O 0.522 0.000 0.461
Sb1 Sb 0.489 0.500 0.506
Sm1 Sm 0.960 0.000 0.043

***

# SmSbN2O, relaxed, DFT PBE-GGA
# V	13.0	Å³/atom
# E	-7.03	eV/atom
# size of the total moment	0.0	μB per formula unit
# space-group type	No. 62
data_SmSbN2O
_chemical_formula_sum 'Sm4 Sb4 N8 O4'
_symmetry_space_group_name_H-M 'P 1'
_symmetry_Int_Tables_number 1
_cell_length_a 8.156
_cell_length_b 5.578
_cell_length_c 5.734
_cell_angle_alpha 90.00
_cell_angle_beta 90.00
_cell_angle_gamma 90.00
loop_
_symmetry_equiv_pos_as_xyz
'x,y,z'
loop_
_atom_site_label
_atom_site_type_symbol
_atom_site_fract_x
_atom_site_fract_y
_atom_site_fract_z
N1 N 0.195 0.048 0.180
N2 N 0.805 0.048 0.180
N3 N 0.305 0.548 0.272
N4 N 0.695 0.548 0.272
N5 N 0.195 0.952 0.680
N6 N 0.805 0.952 0.680
N7 N 0.305 0.452 0.772
N8 N 0.695 0.452 0.772
O1 O 0.000 0.644 0.006
O2 O 0.500 0.144 0.446
O3 O 0.000 0.356 0.506
O4 O 0.500 0.856 0.946
Sb1 Sb 0.250 0.250 0.476
Sb2 Sb 0.750 0.250 0.476
Sb3 Sb 0.250 0.750 0.976
Sb4 Sb 0.750 0.750 0.976
Sm1 Sm 0.500 0.272 0.031
Sm2 Sm 0.000 0.771 0.421
Sm3 Sm 0.500 0.728 0.531
Sm4 Sm 0.000 0.229 0.921

***

# SmSbN2O, relaxed, DFT PBE-GGA
# V	13.0	Å³/atom
# E	-6.84	eV/atom
# size of the total moment	0.0	μB per formula unit
# space-group type	No. 51
data_SmSbN2O
_chemical_formula_sum 'Sm2 Sb2 N4 O2'
_symmetry_space_group_name_H-M 'P 1'
_symmetry_Int_Tables_number 1
_cell_length_a 5.705
_cell_length_b 3.926
_cell_length_c 5.790
_cell_angle_alpha 90.00
_cell_angle_beta 90.00
_cell_angle_gamma 90.00
loop_
_symmetry_equiv_pos_as_xyz
'x,y,z'
loop_
_atom_site_label
_atom_site_type_symbol
_atom_site_fract_x
_atom_site_fract_y
_atom_site_fract_z
N1 N 0.250 0.000 0.183
N2 N 0.000 0.500 0.500
N3 N 0.500 0.500 0.500
N4 N 0.750 0.000 0.817
O1 O 0.000 0.500 0.000
O2 O 0.500 0.500 0.000
Sb1 Sb 0.250 0.500 0.262
Sb2 Sb 0.750 0.500 0.738
Sm1 Sm 0.750 0.000 0.228
Sm2 Sm 0.250 0.000 0.772

***

# SmSbN2O, relaxed, DFT PBE-GGA
# V	13.0	Å³/atom
# E	-6.99	eV/atom
# size of the total moment	0.0	μB per formula unit
# space-group type	No. 12
data_SmSbN2O
_chemical_formula_sum 'Sm2 Sb2 N4 O2'
_symmetry_space_group_name_H-M 'P 1'
_symmetry_Int_Tables_number 1
_cell_length_a 5.676
_cell_length_b 5.676
_cell_length_c 5.653
_cell_angle_alpha 119.80
_cell_angle_beta 119.80
_cell_angle_gamma 89.63
loop_
_symmetry_equiv_pos_as_xyz
'x,y,z'
loop_
_atom_site_label
_atom_site_type_symbol
_atom_site_fract_x
_atom_site_fract_y
_atom_site_fract_z
N1 N 0.805 0.195 0.000
N2 N 0.195 0.805 0.000
N3 N 0.352 0.352 0.122
N4 N 0.648 0.648 0.878
O1 O 0.818 0.182 0.500
O2 O 0.182 0.818 0.500
Sb1 Sb 0.500 0.000 0.000
Sb2 Sb 0.000 0.500 0.000
Sm1 Sm 0.234 0.234 0.471
Sm2 Sm 0.766 0.766 0.529

***

# SmSbN2O, relaxed, DFT PBE-GGA
# V	13.0	Å³/atom
# E	-7.02	eV/atom
# size of the total moment	0.0	μB per formula unit
# space-group type	No. 26
data_SmSbN2O
_chemical_formula_sum 'Sm4 Sb4 N8 O4'
_symmetry_space_group_name_H-M 'P 1'
_symmetry_Int_Tables_number 1
_cell_length_a 7.911
_cell_length_b 5.662
_cell_length_c 5.794
_cell_angle_alpha 90.00
_cell_angle_beta 90.00
_cell_angle_gamma 90.00
loop_
_symmetry_equiv_pos_as_xyz
'x,y,z'
loop_
_atom_site_label
_atom_site_type_symbol
_atom_site_fract_x
_atom_site_fract_y
_atom_site_fract_z
N1 N 0.000 0.337 0.031
N2 N 0.296 0.440 0.305
N3 N 0.704 0.440 0.305
N4 N 0.500 0.860 0.459
N5 N 0.000 0.663 0.531
N6 N 0.296 0.560 0.805
N7 N 0.704 0.560 0.805
N8 N 0.500 0.140 0.959
O1 O 0.197 0.953 0.203
O2 O 0.803 0.953 0.203
O3 O 0.197 0.047 0.703
O4 O 0.803 0.047 0.703
Sb1 Sb 0.254 0.262 0.000
Sb2 Sb 0.746 0.262 0.000
Sb3 Sb 0.254 0.738 0.500
Sb4 Sb 0.746 0.738 0.500
Sm1 Sm 0.500 0.737 0.052
Sm2 Sm 0.000 0.246 0.444
Sm3 Sm 0.500 0.263 0.552
Sm4 Sm 0.000 0.754 0.944

***

# SmSbNO, relaxed, DFT PBE-GGA
# V	19.2	Å³/atom
# size of the total moment	0.0	μB per formula unit
# energy relative to the lowest polymorph listed for this composition	0.260	eV per atom
# space-group type	No. 129
data_SmSbNO
_chemical_formula_sum 'Sm2 Sb2 N2 O2'
_symmetry_space_group_name_H-M 'P 1'
_symmetry_Int_Tables_number 1
_cell_length_a 4.495
_cell_length_b 4.495
_cell_length_c 7.598
_cell_angle_alpha 90.00
_cell_angle_beta 90.00
_cell_angle_gamma 90.00
loop_
_symmetry_equiv_pos_as_xyz
'x,y,z'
loop_
_atom_site_label
_atom_site_type_symbol
_atom_site_fract_x
_atom_site_fract_y
_atom_site_fract_z
N1 N 0.000 0.500 0.424
N2 N 0.500 0.000 0.576
O1 O 0.000 0.000 0.000
O2 O 0.500 0.500 0.000
Sb1 Sb 0.000 0.000 0.500
Sb2 Sb 0.500 0.500 0.500
Sm1 Sm 0.000 0.500 0.118
Sm2 Sm 0.500 0.000 0.882

***

# SmSbNO, relaxed, DFT PBE-GGA
# V	15.8	Å³/atom
# size of the total moment	0.0	μB per formula unit
# energy relative to the lowest polymorph listed for this composition	0.348	eV per atom
# space-group type	No. 129
data_SmSbNO
_chemical_formula_sum 'Sm2 Sb2 N2 O2'
_symmetry_space_group_name_H-M 'P 1'
_symmetry_Int_Tables_number 1
_cell_length_a 4.981
_cell_length_b 4.981
_cell_length_c 5.107
_cell_angle_alpha 90.00
_cell_angle_beta 90.00
_cell_angle_gamma 90.00
loop_
_symmetry_equiv_pos_as_xyz
'x,y,z'
loop_
_atom_site_label
_atom_site_type_symbol
_atom_site_fract_x
_atom_site_fract_y
_atom_site_fract_z
N1 N 0.000 0.500 0.401
N2 N 0.500 0.000 0.599
O1 O 0.000 0.000 0.000
O2 O 0.500 0.500 0.000
Sb1 Sb 0.500 0.000 0.000
Sb2 Sb 0.000 0.500 0.000
Sm1 Sm 0.000 0.000 0.500
Sm2 Sm 0.500 0.500 0.500